Entry 1:
This record from Alexandria describes a geometry-optimized VGaAu structure. The functional is PBE-GGA. Values from VASP.

Properties
As for the space group: Cm. For the total moment, the calculation gives 0.00 μB per cell. The final energy comes out at -15.66 eV/f.u. The calculation puts the formation energy at -0.08 eV per atom.

```
&SYSTEM
  ibrav = 0, nat = 12, ntyp = 3
/
ATOMIC_SPECIES
Au 196.97 Au.upf
Ga 69.72 Ga.upf
V 50.94 V.upf
CELL_PARAMETERS angstrom
6.969 0.000 0.001
0.000 3.083 0.000
-2.603 0.000 8.900
ATOMIC_POSITIONS angstrom
Au 1.133 0.000 3.838
Au -0.169 1.541 8.288
Au 4.844 0.000 6.562
Au 6.146 1.541 2.112
Ga 1.335 0.000 6.537
Ga 2.636 1.541 2.087
Ga 0.381 0.000 0.338
Ga -0.921 1.541 4.788
V 4.207 0.000 3.525
V 2.905 1.541 7.975
V 4.394 0.000 0.602
V 3.092 1.541 5.052
```

Entry 2:
This record from Alexandria describes a geometry-optimized Ac3CdNiCl structure. The functional is PBE-GGA. Values from VASP.

Properties
As for the space group: P2_1/m. For the total moment, the calculation gives 0.00 μB per cell. The final energy comes out at -24.43 eV/f.u. The value obtained for the energy relative to the elements, uncorrected is -0.594 eV/atom.

```
&SYSTEM
  ibrav = 0, nat = 12, ntyp = 4
/
ATOMIC_SPECIES
Ac 227.00 Ac.upf
Cd 112.41 Cd.upf
Ni 58.69 Ni.upf
Cl 35.45 Cl.upf
CELL_PARAMETERS angstrom
5.016 0.000 0.000
0.000 8.128 0.448
0.000 -2.727 9.481
ATOMIC_POSITIONS angstrom
Ac 1.254 4.502 4.539
Ac 3.762 6.943 1.528
Ac 3.762 3.148 1.510
Ac 3.762 0.899 5.390
Ac 1.254 2.252 8.419
Ac 1.254 -1.543 8.401
Cd 3.762 4.193 7.269
Cd 1.254 1.207 2.660
Ni 1.254 5.032 1.706
Ni 3.762 0.369 8.223
Cl 1.254 -0.788 5.532
Cl 3.762 6.189 4.397
```

Entry 3:
This record from Alexandria describes a geometry-optimized NaAcTlPb structure. The functional is PBE-GGA. Values from VASP.

Properties
As for the space group: F-43m. For the total moment, the calculation gives 0.00 μB per cell. The final energy comes out at -12.74 eV/f.u. The calculation puts the formation energy at -0.31 eV per atom.

```
&SYSTEM
  ibrav = 0, nat = 4, ntyp = 4
/
ATOMIC_SPECIES
Pb 207.20 Pb.upf
Na 22.99 Na.upf
Ac 227.00 Ac.upf
Tl 204.38 Tl.upf
CELL_PARAMETERS angstrom
5.683 0.000 0.000
2.841 4.921 0.000
2.841 1.640 4.640
ATOMIC_POSITIONS angstrom
Pb 8.524 4.921 3.480
Na 0.000 0.000 0.000
Ac 5.683 3.281 2.320
Tl 2.841 1.640 1.160
```